# 1
First-principles (PBE-GGA) data for an optimized crystal structure of PrAlAu, as listed in the Alexandria database.

Lattice parameters (Å, degrees): 4.620 7.590 7.814 90.00 90.00 90.00
Atoms (fractional coordinates):
Al 0.250 0.173 0.081
Al 0.750 0.827 0.919
Al 0.250 0.673 0.419
Al 0.750 0.327 0.581
Au 0.250 0.302 0.408
Au 0.750 0.698 0.592
Au 0.250 0.802 0.092
Au 0.750 0.198 0.908
Pr 0.250 0.510 0.807
Pr 0.750 0.490 0.193
Pr 0.750 0.990 0.307
Pr 0.250 0.010 0.693

## Properties
size of the total moment: 0.00 μB per cell
space-group type: Pnma
electronic total energy: -4.6612 eV/atom


# 2
First-principles (PBE-GGA) data for an optimized crystal structure of Pr7Al2Au2, as listed in the Alexandria database.

Lattice parameters (Å, degrees): 7.038 7.429 7.038 90.00 108.06 90.00
Atoms (fractional coordinates):
Pr 0.000 0.000 0.000
Pr 0.000 0.721 0.500
Pr 0.500 0.721 0.000
Pr 0.000 0.279 0.500
Pr 0.500 0.279 0.000
Pr 0.500 0.734 0.500
Pr 0.500 0.266 0.500
Au 0.712 0.000 0.288
Au 0.288 0.000 0.712
Al 0.160 0.500 0.160
Al 0.840 0.500 0.840

## Properties
size of the total moment: 0.00 μB per cell
space-group type: Cmmm
electronic total energy: -4.5248 eV/atom


# 3
First-principles (PBE-GGA) data for an optimized crystal structure of Pr3Al2Au3, as listed in the Alexandria database.

Lattice parameters (Å, degrees): 4.563 6.005 15.182 90.00 90.00 112.33
Atoms (fractional coordinates):
Au 0.381 0.762 0.544
Au 0.323 0.646 0.250
Au 0.619 0.238 0.456
Au 0.381 0.762 0.956
Au 0.677 0.354 0.750
Au 0.619 0.238 0.044
Pr 0.389 0.778 0.750
Pr 0.086 0.172 0.894
Pr 0.914 0.828 0.106
Pr 0.914 0.828 0.394
Pr 0.611 0.222 0.250
Pr 0.086 0.172 0.606
Al 0.209 0.418 0.405
Al 0.791 0.582 0.905
Al 0.209 0.418 0.095
Al 0.791 0.582 0.595

## Properties
size of the total moment: 0.00 μB per cell
space-group type: Cmcm
ΔE to the lowest computed polymorph: 0 meV per atom


# 4
First-principles (PBE-GGA) data for an optimized crystal structure of Pr3Al2Au3, as listed in the Alexandria database.

Lattice parameters (Å, degrees): 5.942 8.491 15.428 90.00 90.00 90.00
Atoms (fractional coordinates):
Pr 0.894 0.802 0.250
Pr 0.371 0.947 0.393
Pr 0.629 0.053 0.893
Pr 0.871 0.553 0.893
Pr 0.871 0.553 0.607
Pr 0.129 0.447 0.107
Pr 0.606 0.302 0.250
Pr 0.371 0.947 0.107
Pr 0.629 0.053 0.607
Pr 0.394 0.698 0.750
Pr 0.129 0.447 0.393
Pr 0.106 0.198 0.750
Au 0.115 0.194 0.543
Au 0.615 0.306 0.043
Au 0.115 0.194 0.957
Au 0.097 0.159 0.250
Au 0.403 0.659 0.250
Au 0.903 0.841 0.750
Au 0.615 0.306 0.457
Au 0.885 0.806 0.457
Au 0.885 0.806 0.043
Au 0.385 0.694 0.957
Au 0.385 0.694 0.543
Au 0.597 0.341 0.750
Al 0.382 0.405 0.902
Al 0.118 0.905 0.902
Al 0.382 0.405 0.598
Al 0.618 0.595 0.098
Al 0.118 0.905 0.598
Al 0.882 0.095 0.402
Al 0.618 0.595 0.402
Al 0.882 0.095 0.098

## Properties
size of the total moment: 0.00 μB per cell
space-group type: Pnma
ΔE to the lowest computed polymorph: 20 meV per atom


# 5
First-principles (PBE-GGA) data for an optimized crystal structure of PrAl4Au8, as listed in the Alexandria database.

Lattice parameters (Å, degrees): 5.504 7.128 7.128 81.43 67.29 67.29
Atoms (fractional coordinates):
Au 0.000 0.332 0.668
Au 0.000 0.668 0.332
Au 0.500 0.219 0.781
Au 0.281 0.219 0.219
Au 0.500 0.781 0.219
Au 0.668 0.332 0.332
Au 0.719 0.781 0.781
Au 0.332 0.668 0.668
Al 0.500 0.000 0.500
Al 0.000 0.500 0.000
Al 0.000 0.000 0.500
Al 0.500 0.500 0.000
Pr 0.000 0.000 0.000

## Properties
size of the total moment: 0.00 μB per cell
space-group type: I4/mmm
electronic total energy: -4.0068 eV/atom


# 6
First-principles (PBE-GGA) data for an optimized crystal structure of PrAl2Au9, as listed in the Alexandria database.

Lattice parameters (Å, degrees): 7.037 8.830 8.830 80.86 66.52 66.52
Atoms (fractional coordinates):
Au 0.000 0.000 0.000
Au 0.324 0.067 0.689
Au 0.426 0.811 0.433
Au 0.141 0.189 0.433
Au 0.141 0.433 0.189
Au 0.669 0.567 0.189
Au 0.609 0.067 0.311
Au 0.763 0.811 0.567
Au 0.750 0.500 0.500
Au 0.081 0.933 0.311
Au 0.324 0.689 0.067
Au 0.763 0.567 0.811
Au 0.081 0.311 0.933
Au 0.987 0.689 0.933
Au 0.426 0.433 0.811
Au 0.609 0.311 0.067
Au 0.669 0.189 0.567
Au 0.987 0.933 0.689
Al 0.875 0.250 0.750
Al 0.875 0.250 0.250
Al 0.875 0.750 0.250
Al 0.375 0.750 0.750
Pr 0.500 0.000 0.000
Pr 0.250 0.500 0.500

## Properties
size of the total moment: 0.00 μB per cell
space-group type: I4_1/amd
electronic total energy: -3.8485 eV/atom